Computed, not measured: crystalline Rb2Ag2PbCl6 at its relaxed geometry at the PBE-GGA level of DFT.

## Properties
Energy relative to the elements, uncorrected = -13.0 eV/f.u.
Total magnetic moment = 0.0000 μB/atom

abc: 13.7231 7.8323 7.8144
angles: 90.00 118.79 90.00
Space group C2/m (No. 12)
Symmetry-distinct sites (fractional):
Rb 0.2328 0.0000 0.1829 (multiplicity 4)
Ag 0.0610 0.5000 0.2163 (multiplicity 4)
Pb 0.0000 0.0000 0.5000 (multiplicity 2)
Cl 0.0639 0.2489 0.8130 (multiplicity 8)
Cl 0.2328 0.0000 0.6044 (multiplicity 4)